Arrangement A

Crystalline NdSiPd3 at its relaxed geometry. Source: Alexandria via LeMat-Bulk, functional PBE-GGA.

Cell: 4.6427 4.6427 4.6427 Å, 90.00 90.00 90.00°
Closest atoms and distances in Å follow each position.
Atoms (fractional coordinates):
Si1 0.0000 0.0000 0.0000  6 Pd 2.32
Nd1 0.5000 0.5000 0.5000  12 Pd 3.28
Pd1 0.0000 0.5000 0.0000  2 Si 2.32
Pd2 0.0000 0.0000 0.5000  2 Si 2.32
Pd3 0.5000 0.0000 0.0000  2 Si 2.32

Magnetization: 0.000 μB/f.u.



Arrangement B

Crystalline NdSiPd3 at its relaxed geometry. Source: Alexandria via LeMat-Bulk, functional PBE-GGA.

Cell: 5.3019 5.3019 8.5740 Å, 108.01 108.01 90.00°
Closest atoms and distances in Å follow each position.
Atoms (fractional coordinates):
Nd1 0.5968 0.0968 0.1936  6 Pd 3.00-3.19, 2 Si 3.04
Nd2 0.9032 0.4032 0.8064  6 Pd 3.00-3.19, 2 Si 3.04
Si1 0.0000 0.0000 0.0000  4 Pd 2.33
Si2 0.2500 0.7500 0.5000  4 Pd 2.35
Pd1 0.6222 0.8772 0.7543  2 Si 2.33-2.35, 1 Pd 2.60
Pd2 0.1228 0.8679 0.2457  2 Si 2.33-2.35, 1 Pd 2.60
Pd3 0.1228 0.3778 0.2457  2 Si 2.33-2.35, 1 Pd 2.60
Pd4 0.1321 0.8772 0.7543  2 Si 2.33-2.35, 1 Pd 2.60
Pd5 0.2884 0.2884 0.5769  2 Si 2.72, 2 Pd 2.89
Pd6 0.7116 0.7116 0.4231  2 Si 2.72, 2 Pd 2.89

Magnetization: 0.000 μB/f.u.



Verdict on stability: arrangement A comes out on top.



Arrangement A

Crystalline NdSm3Pd at its relaxed geometry. Source: Alexandria via LeMat-Bulk, functional PBE-GGA.

Cell: 5.5962 5.5962 5.5962 Å, 90.00 90.00 90.00°
Closest atoms and distances in Å follow each position.
Atoms (fractional coordinates):
Nd1 0.5000 0.5000 0.5000  12 Sm 3.96
Pd1 0.0000 0.0000 0.0000  6 Sm 2.80
Sm1 0.0000 0.5000 0.0000  2 Pd 2.80
Sm2 0.0000 0.0000 0.5000  2 Pd 2.80
Sm3 0.5000 0.0000 0.0000  2 Pd 2.80

Magnetization: 0.007 μB/f.u.



Arrangement B

Crystalline NdSm3Pd at its relaxed geometry. Source: Alexandria via LeMat-Bulk, functional PBE-GGA.

Cell: 3.8389 6.4856 12.8790 Å, 82.87 81.43 72.78°
Closest atoms and distances in Å follow each position.
Atoms (fractional coordinates):
Nd1 0.0997 0.5027 0.2980  2 Pd 2.99
Nd2 0.2228 0.5561 0.9984  2 Pd 2.96
Sm1 0.4543 0.9441 0.1473  2 Pd 3.06
Sm2 0.7555 0.7281 0.7608  2 Pd 3.11
Sm3 0.1127 0.1617 0.6128  2 Pd 2.94
Sm4 0.9886 0.1163 0.9065  2 Pd 2.92
Sm5 0.7933 0.0316 0.3819  1 Pd 3.38, 3 Nd 3.53-3.58, 6 Sm 3.54-3.66
Sm6 0.4185 0.6335 0.5295  1 Pd 3.34, 7 Sm 3.52-3.61, 2 Nd 3.67
Pd1 0.7622 0.3292 0.1464  4 Nd 2.96-2.99, 2 Sm 3.06
Pd2 0.4532 0.3335 0.7600  6 Sm 2.92-3.11

Magnetization: 0.000 μB/f.u.



Verdict on stability: arrangement B comes out on top.



Arrangement A

Crystalline NdSm2Pd at its relaxed geometry. Source: Alexandria via LeMat-Bulk, functional PBE-GGA.

Cell: 3.6580 3.6580 8.6755 Å, 90.00 90.00 90.00°
Closest atoms and distances in Å follow each position.
Atoms (fractional coordinates):
Nd1 0.5000 0.5000 0.5000  4 Nd 3.66, 8 Sm 3.70
Pd1 0.5000 0.5000 0.0000  8 Sm 3.09
Sm1 0.0000 0.0000 0.8045  4 Pd 3.09, 1 Sm 3.39
Sm2 0.0000 0.0000 0.1955  4 Pd 3.09, 1 Sm 3.39

Magnetization: 0.002 μB/f.u.



Arrangement B

Crystalline NdSm2Pd at its relaxed geometry. Source: Alexandria via LeMat-Bulk, functional PBE-GGA.

Cell: 3.7987 3.7987 10.0906 Å, 79.15 79.15 60.00°
Closest atoms and distances in Å follow each position.
Atoms (fractional coordinates):
Nd1 0.5000 0.5000 0.5000  6 Sm 3.73, 6 Nd 3.80
Pd1 0.0000 0.0000 0.0000  6 Sm 2.90
Sm1 0.2689 0.2689 0.1933  3 Pd 2.90
Sm2 0.7311 0.7311 0.8067  3 Pd 2.90

Magnetization: 0.000 μB/f.u.



Verdict on stability: arrangement A comes out on top.